The following is a DFT calculation (PBE with a Hubbard U) of a relaxed structure of Mn2NbTl3O6.

Uncorrected energy = -79.42 eV per formula unit
Volume = 15.2 Å³/atom
Density = 8290 kg/m3
Crystal system = monoclinic

The structure in POSCAR format:
```
Mn2NbTl3O6
1.0
2.843 -4.953 0.000
2.843 4.953 0.000
-1.821 0.000 6.486
Mn Nb Tl O
2 1 3 6
Cartesian
2.843 3.298 0.000
2.843 -3.298 0.000
2.843 0.000 0.000
-0.911 0.000 3.243
1.933 1.674 3.243
1.933 -1.674 3.243
0.130 1.497 5.417
1.129 0.000 1.143
0.130 -1.497 5.417
3.735 1.497 1.068
2.736 0.000 5.343
3.735 -1.497 1.068
```